Entry from the Alexandria database: crystalline FePF2 at its relaxed geometry (PBE with a Hubbard U).

Results
Total energy, eV/cell: -16.30
Energy above the most stable polymorph in this dataset, meV/atom: 663.7

The structure in POSCAR format:
```
FePF2
1.0
-3.9330 -0.9432 -0.8702
-2.9045 2.9443 0.1019
-1.7172 1.3343 -3.5194
P Fe F
1 1 2
direct
0.0000 0.0000 0.0000 P
0.5000 0.5000 0.5000 Fe
0.2500 0.2500 0.2500 F
0.7500 0.7500 0.7500 F
```